Entry 1:
DFT (PBE) results for crystalline LiMn2Pt at its relaxed geometry.

Lattice parameters (Å, degrees): 3.189 3.189 5.939 90.00 90.00 90.00
Last column: magnetic moment on the atom in μB.
Fractional coordinates of all 4 atoms:
Li: 0.500 0.500 0.750  -0.06
Pt: 0.500 0.500 0.250  0.35
Mn: 0.000 0.000 0.497  3.82
Mn: 0.000 0.000 0.003  3.82

Summary:
For the formation energy, the calculation gives 0.026 eV per atom. The density is 8.6 g cm⁻³. The calculation puts the magnetization at 8.21 μB/cell.

***

Entry 2:
DFT (PBE) results for crystalline K3AlNi at its relaxed geometry.

Lattice parameters (Å, degrees): 6.078 6.078 6.078 90.00 90.00 90.00
Last column: magnetic moment on the atom in μB.
Fractional coordinates of all 5 atoms:
K: 0.000 0.000 0.500  0.02
K: 0.500 0.000 0.000  0.02
K: 0.000 0.500 0.000  0.02
Ni: 0.000 0.000 0.000  -0.26
Al: 0.500 0.500 0.500  0.13

Summary:
For the formation energy, the calculation gives 0.772 eV per atom. The density is 1.5 g cm⁻³. The calculation puts the magnetization at 1.36 μB/cell.

***

Entry 3:
DFT (PBE) results for crystalline Tm2Pa2Co3 at its relaxed geometry.

Lattice parameters (Å, degrees): 3.573 6.468 6.876 92.20 74.94 73.97
Fractional coordinates of all 7 atoms:
Co: 0.000 0.000 0.000
Co: 0.079 0.554 0.287
Co: 0.921 0.446 0.713
Tm: 0.694 0.238 0.373
Tm: 0.306 0.762 0.627
Pa: 0.575 0.742 0.107
Pa: 0.425 0.258 0.893

Summary:
For the formation energy, the calculation gives -0.300 eV per atom. The density is 11.1 g cm⁻³. The calculation puts the magnetization at 0.00 μB/cell.

***

Entry 4:
DFT (PBE) results for crystalline RbNaVPt2 at its relaxed geometry.

Lattice parameters (Å, degrees): 5.012 4.813 5.012 90.00 90.00 90.00
Last column: magnetic moment on the atom in μB.
Fractional coordinates of all 5 atoms:
Rb: 0.000 0.500 0.000  -0.01
Pt: 0.500 0.000 0.000  0.01
Pt: 0.000 0.000 0.500  0.03
V: 0.500 0.500 0.500  0.22
Na: 0.000 0.000 0.000  0.00

Summary:
For the formation energy, the calculation gives 1.463 eV per atom. The density is 7.5 g cm⁻³. The calculation puts the magnetization at 0.36 μB/cell.

***

- The highest magnetization belongs to which entry?
  LiMn2Pt